Entry 1:
! SrCuI2 PBE-GGA optimized geometry; values from VASP
&SYSTEM
  ibrav = 0, nat = 4, ntyp = 3
/
ATOMIC_SPECIES
I 126.90 I.upf
Cu 63.55 Cu.upf
Sr 87.62 Sr.upf
ATOMIC_POSITIONS angstrom
I 2.154 1.244 6.197
I 6.462 3.731 3.185
Cu 4.308 2.487 4.691
Sr 0.000 0.000 0.000
CELL_PARAMETERS angstrom
4.308 0.000 0.000
2.154 3.731 0.000
2.154 1.244 9.382
! Space group   R-3m, No. 166
! VASP energy   -10.31 eV/f.u.

---

Entry 2:
! Ce4CoSn PBE-GGA optimized geometry; values from VASP
&SYSTEM
  ibrav = 0, nat = 12, ntyp = 3
/
ATOMIC_SPECIES
Co 58.93 Co.upf
Ce 140.12 Ce.upf
Sn 118.71 Sn.upf
ATOMIC_POSITIONS angstrom
Co -3.418 0.293 1.701
Co -0.654 7.315 0.851
Ce -0.938 5.493 2.717
Ce -1.956 2.526 3.254
Ce -3.134 2.115 -0.165
Ce -5.436 1.566 2.793
Ce 1.364 6.043 -0.241
Ce -0.926 -0.221 1.189
Ce -3.161 -0.755 4.062
Ce -2.116 5.083 -0.702
Sn -4.165 4.653 1.930
Sn 0.093 2.955 0.622
CELL_PARAMETERS angstrom
-4.577 0.980 -3.380
-4.086 -0.976 5.251
4.591 7.605 0.680
! Space group   C2/m, No. 12
! VASP energy   -36.74 eV/f.u.

---

Entry 3:
! Ce2PmSi2Pt7 PBE-GGA optimized geometry; values from VASP
&SYSTEM
  ibrav = 0, nat = 12, ntyp = 4
/
ATOMIC_SPECIES
Pt 195.08 Pt.upf
Ce 140.12 Ce.upf
Si 28.09 Si.upf
Pm 145.00 Pm.upf
ATOMIC_POSITIONS angstrom
Pt -2.193 5.492 10.572
Pt -2.165 -1.510 4.402
Pt -0.470 -2.130 1.964
Pt 0.643 5.192 10.926
Pt -0.605 1.753 6.335
Pt -0.917 1.929 8.993
Pt 0.671 -1.810 4.755
Ce -0.477 4.637 7.759
Ce -1.045 -0.955 7.569
Si -0.987 3.426 10.824
Si -0.535 0.256 4.503
Pm 0.000 0.000 0.000
CELL_PARAMETERS angstrom
-3.315 -1.829 1.609
2.374 -2.431 2.319
-0.581 7.942 11.400
! Space group   C2/m, No. 12
! VASP energy   -82.28 eV/f.u.

---

Entry 4:
! La5Y4Er PBE-GGA optimized geometry; values from VASP
&SYSTEM
  ibrav = 0, nat = 10, ntyp = 3
/
ATOMIC_SPECIES
Y 88.91 Y.upf
La 138.91 La.upf
Er 167.26 Er.upf
ATOMIC_POSITIONS angstrom
Y 4.314 -0.735 9.053
Y 2.147 -0.366 4.505
Y 8.644 -1.474 18.140
Y 6.477 -1.104 13.593
La 2.237 -2.959 7.057
La 0.068 -2.590 2.505
La 4.402 -3.329 11.600
La 6.567 -3.698 16.144
La 8.736 -4.067 20.696
Er 0.000 0.000 0.000
CELL_PARAMETERS angstrom
-3.142 -1.396 1.384
1.155 -3.422 -0.828
10.790 -1.840 22.645
! Space group   P4/mmm, No. 123
! VASP energy   -54.82 eV/f.u.

---

Entry 5:
! Sr2Cd5Hg3 PBE-GGA optimized geometry; values from VASP
&SYSTEM
  ibrav = 0, nat = 20, ntyp = 3
/
ATOMIC_SPECIES
Sr 87.62 Sr.upf
Cd 112.41 Cd.upf
Hg 200.59 Hg.upf
ATOMIC_POSITIONS angstrom
Sr 9.771 3.974 7.773
Sr 6.514 1.528 5.679
Sr 3.257 5.846 0.633
Sr 6.514 8.293 2.728
Cd 6.514 6.738 -0.517
Cd 4.886 7.294 6.243
Cd 3.257 0.528 6.737
Cd 8.143 2.527 2.163
Cd 8.143 7.294 6.243
Cd 6.514 3.083 8.924
Cd 4.886 4.910 4.203
Cd 8.143 4.910 4.203
Cd 9.771 9.292 1.670
Cd 4.886 2.527 2.163
Hg 4.886 0.000 0.000
Hg 6.514 4.839 6.701
Hg 3.257 2.454 4.659
Hg 9.771 7.367 3.748
Hg 1.629 0.000 0.000
Hg 6.514 4.981 1.706
CELL_PARAMETERS angstrom
6.514 0.000 0.000
3.257 9.177 -0.781
3.257 0.644 9.188
! Space group   Ibam, No. 72
! VASP energy   -11.68 eV/f.u.

---

Entry 6:
! MgCd6Hg5 PBE-GGA optimized geometry; values from VASP
&SYSTEM
  ibrav = 0, nat = 12, ntyp = 3
/
ATOMIC_SPECIES
Cd 112.41 Cd.upf
Hg 200.59 Hg.upf
Mg 24.30 Mg.upf
ATOMIC_POSITIONS angstrom
Cd 3.748 0.000 8.016
Cd 6.305 3.874 3.570
Cd 1.156 1.910 7.622
Cd 3.658 3.874 8.080
Cd 3.803 1.910 3.112
Cd 1.211 0.000 2.717
Hg 2.480 0.000 5.367
Hg 2.502 1.807 0.458
Hg 2.480 3.807 5.367
Hg 5.003 3.976 0.916
Hg 4.981 1.977 5.825
Mg 0.000 0.000 0.000
CELL_PARAMETERS angstrom
5.003 0.000 0.916
2.502 5.783 0.458
-0.044 0.000 9.817
! Space group   C2/m, No. 12
! VASP energy   -8.66 eV/f.u.

---

Entry 7:
! Tb5Sm2Tm6 PBE-GGA optimized geometry; values from VASP
&SYSTEM
  ibrav = 0, nat = 26, ntyp = 3
/
ATOMIC_SPECIES
Tb 158.93 Tb.upf
Tm 168.93 Tm.upf
Sm 150.36 Sm.upf
ATOMIC_POSITIONS angstrom
Tb 1.776 2.312 19.151
Tb 1.776 5.791 0.000
Tb 1.776 0.000 10.071
Tb 1.776 3.480 9.079
Tb 1.776 1.027 4.535
Tb 1.776 6.818 5.537
Tb 1.776 10.555 15.608
Tb 1.776 8.103 11.063
Tb 1.776 9.271 0.992
Tb 1.776 4.764 14.606
Tm 0.000 6.476 8.465
Tm 0.000 10.653 12.727
Tm 0.000 0.929 7.416
Tm 1.776 2.051 12.728
Tm 0.000 4.862 17.487
Tm 1.776 7.842 17.486
Tm 1.776 3.741 2.656
Tm 1.776 9.532 7.415
Tm 0.000 6.720 2.656
Tm 0.000 5.106 11.677
Tm 0.000 0.685 1.606
Tm 0.000 10.897 18.536
Sm 0.000 9.623 4.281
Sm 0.000 7.750 14.352
Sm 0.000 3.832 5.790
Sm 0.000 1.959 15.862
CELL_PARAMETERS angstrom
3.552 0.000 0.000
0.000 11.582 0.000
0.000 0.000 20.142
! Space group   Pbam, No. 55
! VASP energy   -58.12 eV/f.u.

---

Entry 8:
! Sc2Ga3Hg PBE-GGA optimized geometry; values from VASP
&SYSTEM
  ibrav = 0, nat = 12, ntyp = 3
/
ATOMIC_SPECIES
Hg 200.59 Hg.upf
Ga 69.72 Ga.upf
Sc 44.96 Sc.upf
ATOMIC_POSITIONS angstrom
Hg 0.000 0.000 5.151
Hg 2.287 2.378 2.578
Ga 0.000 0.000 2.516
Ga -1.645 1.582 6.472
Ga 1.645 -1.582 6.472
Ga 0.642 3.961 1.257
Ga 3.933 0.796 1.257
Ga 2.287 2.378 5.213
Sc 2.754 -0.360 3.864
Sc 3.436 3.572 0.000
Sc -0.467 2.738 3.864
Sc 1.139 1.185 0.000
CELL_PARAMETERS angstrom
5.508 -0.720 0.000
-0.934 5.476 0.000
-2.287 -2.378 7.729
! Space group   Fmmm, No. 69
! VASP energy   -24.80 eV/f.u.